DFT (PBE) results for a relaxed structure of HoThHgAu.

Calculated values
energy of formation from the pure elements = -0.53 eV per atom
ρ = 13.0 g cm⁻³
E above lowest polymorph = 0 kJ/mol of formula units
crystal system = tetragonal

CIF file:
```
data_HoThHgAu
_cell_length_a 3.6345
_cell_length_b 3.6345
_cell_length_c 7.6973
_cell_angle_alpha 90.00
_cell_angle_beta 90.00
_cell_angle_gamma 90.00
_symmetry_space_group_name_H-M 'P 1'
_symmetry_Int_Tables_number 1
_symmetry_space_group_name_Hall 'P 1'
loop_
_atom_site_label
_atom_site_fract_x
_atom_site_fract_y
_atom_site_fract_z
_atom_site_occupancy
Ho1 0.0000 0.0000 0.3718 1
Th1 0.0000 0.0000 0.8477 1
Hg1 0.5000 0.5000 0.1262 1
Au1 0.5000 0.5000 0.5822 1
```